1.
Compound: NaCeTiNbO6F
Source: Alexandria
Functional: PBEsol
Structure: relaxed

a b c (Å): 7.294 7.294 10.363
angles (deg): 90.00 90.00 90.00
Positions (direct):
Na1 0.000 0.220 0.000
Na2 0.000 0.780 0.500
Na3 0.220 0.000 0.750
Na4 0.780 0.000 0.250
Ce1 0.233 0.500 0.750
Ce2 0.500 0.233 0.000
Ce3 0.500 0.767 0.500
Ce4 0.767 0.500 0.250
Ti1 0.263 0.500 0.250
Ti2 0.500 0.263 0.500
Ti3 0.500 0.737 0.000
Ti4 0.737 0.500 0.750
Nb1 0.000 0.259 0.500
Nb2 0.000 0.741 0.000
Nb3 0.259 0.000 0.250
Nb4 0.741 0.000 0.750
O1 0.056 0.450 0.367
O2 0.056 0.550 0.133
O3 0.063 0.063 0.375
O4 0.063 0.937 0.125
O5 0.252 0.275 0.574
O6 0.252 0.725 0.926
O7 0.275 0.252 0.176
O8 0.275 0.748 0.324
O9 0.450 0.056 0.383
O10 0.450 0.944 0.117
O11 0.463 0.463 0.375
O12 0.463 0.537 0.125
O13 0.537 0.463 0.625
O14 0.537 0.537 0.875
O15 0.550 0.056 0.617
O16 0.550 0.944 0.883
O17 0.725 0.252 0.824
O18 0.725 0.748 0.676
O19 0.748 0.275 0.426
O20 0.748 0.725 0.074
O21 0.937 0.063 0.625
O22 0.937 0.937 0.875
O23 0.944 0.450 0.633
O24 0.944 0.550 0.867
F1 0.238 0.238 0.875
F2 0.238 0.762 0.625
F3 0.762 0.238 0.125
F4 0.762 0.762 0.375

ΔE to the lowest computed polymorph, meV/atom: 0.0

---

2.
Compound: NaCeTiNbO6F
Source: Alexandria
Functional: PBEsol
Structure: relaxed

a b c (Å): 7.284 7.284 7.284
angles (deg): 121.29 117.89 90.74
Positions (direct):
Na1 0.500 0.000 0.000
Na2 0.500 0.500 0.500
Ce1 0.000 0.000 0.000
Ce2 0.500 0.000 0.500
Ti1 0.000 0.000 0.500
Ti2 0.000 0.500 0.000
Nb1 0.000 0.500 0.500
Nb2 0.500 0.500 0.000
O1 0.064 0.415 0.233
O2 0.064 0.831 0.649
O3 0.080 0.830 0.250
O4 0.317 0.567 0.750
O5 0.318 0.169 0.733
O6 0.318 0.585 0.149
O7 0.682 0.415 0.851
O8 0.682 0.831 0.267
O9 0.683 0.433 0.250
O10 0.920 0.170 0.750
O11 0.936 0.169 0.351
O12 0.936 0.585 0.767
F1 0.380 0.130 0.250
F2 0.620 0.870 0.750

ΔE to the lowest computed polymorph, meV/atom: 3.1

---

3.
Compound: CeOF
Source: Alexandria
Functional: PBEsol
Structure: relaxed

a b c (Å): 6.948 6.948 6.948
angles (deg): 32.84 32.84 32.84
Positions (direct):
Ce1 0.240 0.240 0.240
Ce2 0.760 0.760 0.760
O1 0.122 0.122 0.122
O2 0.878 0.878 0.878
F1 0.370 0.370 0.370
F2 0.630 0.630 0.630

Energy, eV/atom: -8.265

---

4.
Compound: CeOF
Source: Alexandria
Functional: PBEsol
Structure: relaxed

a b c (Å): 5.583 5.583 5.583
angles (deg): 90.00 90.00 90.00
Positions (direct):
Ce1 0.000 0.000 0.000
Ce2 0.000 0.500 0.500
Ce3 0.500 0.000 0.500
Ce4 0.500 0.500 0.000
O1 0.250 0.250 0.250
O2 0.250 0.750 0.750
O3 0.750 0.250 0.750
O4 0.750 0.750 0.250
F1 0.250 0.250 0.750
F2 0.250 0.750 0.250
F3 0.750 0.250 0.250
F4 0.750 0.750 0.750

Energy, eV/atom: -8.194